[1]
Density functional theory data (PBE) for a relaxed LiV3Rh crystal.

calculated formation energy = 1.04 eV/atom
relative energy among the computed polymorphs = 56.0 meV per atom
mass density = 6.45 Mg/m³
space-group type = Pm-3m
total DFT energy (no corrections) = -6.28 eV per atom

a = 4.0743 Å, b = 4.0743 Å, c = 4.0743 Å
α = 90.00°, β = 90.00°, γ = 90.00°
With the nearest neighbours (Å) after each atom.
Sites, in units of the cell vectors:
Li  0.0000  0.0000  0.0000  6 V 2.04
Rh  0.5000  0.5000  0.5000  12 V 2.88
V  0.0000  0.5000  0.0000  2 Li 2.04
V  0.5000  0.0000  0.0000  2 Li 2.04
V  0.0000  0.0000  0.5000  2 Li 2.04


[2]
Density functional theory data (PBE) for a relaxed TlZnBi2Ru crystal.

calculated formation energy = 0.44 eV/atom
mass density = 8.80 Mg/m³
space-group type = P4/mmm
total DFT energy (no corrections) = -3.69 eV per atom

a = 5.2950 Å, b = 5.3086 Å, c = 5.2950 Å
α = 90.00°, β = 90.00°, γ = 90.00°
With the nearest neighbours (Å) after each atom.
Sites, in units of the cell vectors:
Tl  0.0000  0.5000  0.0000  2 Ru 2.65
Bi  0.0000  0.0000  0.5000  2 Ru 2.65
Bi  0.5000  0.0000  0.0000  2 Ru 2.65
Zn  0.5000  0.5000  0.5000  4 Tl 3.74, 8 Bi 3.75
Ru  0.0000  0.0000  0.0000  4 Bi 2.65, 2 Tl 2.65


[3]
Density functional theory data (PBE) for a relaxed DyTl3Bi2Se6 crystal.

mass density = 7.59 Mg/m³
space-group type = C2/m
ΔE_f (raw) = -762.5 meV/atom
total DFT energy (no corrections) = -4.13 eV per atom

a = 7.4046 Å, b = 7.4046 Å, c = 8.0722 Å
α = 98.79°, β = 98.79°, γ = 120.00°
With the nearest neighbours (Å) after each atom.
Sites, in units of the cell vectors:
Bi  0.6664  0.3336  0.0000  6 Se 2.97-2.98
Dy  0.0000  0.0000  0.0000  6 Se 2.90-2.91
Se  0.0703  0.3961  0.2110  1 Dy 2.91, 2 Bi 2.98
Se  0.2554  0.2554  0.7893  1 Dy 2.90, 2 Bi 2.97
Se  0.9297  0.6039  0.7890  1 Dy 2.91, 2 Bi 2.98
Se  0.7446  0.7446  0.2107  1 Dy 2.90, 2 Bi 2.97
Tl  0.1676  0.8324  0.5000  6 Se 3.30-3.35
Bi  0.3336  0.6664  0.0000  6 Se 2.97-2.98
Se  0.6039  0.9297  0.7890  1 Dy 2.91, 2 Bi 2.98
Tl  0.5000  0.5000  0.5000  6 Se 3.30-3.36
Se  0.3961  0.0703  0.2110  1 Dy 2.91, 2 Bi 2.98
Tl  0.8324  0.1676  0.5000  6 Se 3.30-3.35


[4]
Density functional theory data (PBE) for a relaxed UFeOs2 crystal.

calculated formation energy = 0.14 eV/atom
relative energy among the computed polymorphs = 240.9 meV per atom
mass density = 17.81 Mg/m³
space-group type = P4/mmm
total DFT energy (no corrections) = -10.41 eV per atom

a = 2.9680 Å, b = 2.9680 Å, c = 7.1380 Å
α = 90.00°, β = 90.00°, γ = 90.00°
With the nearest neighbours (Å) after each atom.
Sites, in units of the cell vectors:
Fe  0.5000  0.5000  0.0000  8 Os 2.58
Os  0.0000  0.0000  0.2094  4 Fe 2.58
Os  0.0000  0.0000  0.7906  4 Fe 2.58
U  0.5000  0.5000  0.5000  8 Os 2.95, 4 U 2.97